[1]
Entry from Alexandria via LeMat-Bulk: crystalline Ta3Mo5 at its relaxed geometry (GGA-PBE).

Unit cell a=3.1961 b=4.6384 c=17.9950 alpha=90.00 beta=90.00 gamma=90.00
Closest atoms and distances in Å follow each position.
Space group Cmm2 (No. 35)
Unique sites:
Ta 0.0000 0.0000 0.0000 (multiplicity 2)  2 Mo 2.77, 6 Ta 2.82-2.89
Ta 0.0000 0.0000 0.4938 (multiplicity 2)  4 Mo 2.78, 4 Ta 2.82
Ta 0.0000 0.5000 0.8661 (multiplicity 2)  2 Mo 2.77, 6 Ta 2.82-2.89
Mo 0.0000 0.0000 0.2464 (multiplicity 2)  8 Mo 2.69-2.82
Mo 0.0000 0.0000 0.7402 (multiplicity 2)  6 Mo 2.68-2.82, 2 Ta 2.77
Mo 0.0000 0.5000 0.1260 (multiplicity 2)  6 Mo 2.69-2.82, 2 Ta 2.77
Mo 0.0000 0.5000 0.3673 (multiplicity 2)  6 Mo 2.70-2.82, 2 Ta 2.78
Mo 0.0000 0.5000 0.6204 (multiplicity 2)  6 Mo 2.68-2.82, 2 Ta 2.78

Properties
Energy of formation: -75 meV/atom
Total DFT energy (no corrections): -180.62 eV/cell
Volume: 267 Å³ per cell
Energy relative to the lowest polymorph listed for this composition: 0.117 eV per atom

---

[2]
Entry from Alexandria via LeMat-Bulk: crystalline TaMo7 at its relaxed geometry (GGA-PBE).

Unit cell a=8.9957 b=8.9957 c=11.0422 alpha=90.00 beta=90.00 gamma=120.00
Closest atoms and distances in Å follow each position.
Space group R-3m (No. 166, hexagonal axes)
Unique sites:
Ta 0.0000 0.0000 0.1273 (multiplicity 6)  7 Mo 2.75-2.77, 1 Ta 2.81
Mo 0.0000 0.0000 0.3767 (multiplicity 6)  7 Mo 2.72-2.75, 1 Ta 2.75
Mo 0.0012 0.5006 0.3746 (multiplicity 18)  7 Mo 2.75-2.77, 1 Ta 2.77
Mo 0.0018 0.5009 0.1244 (multiplicity 18)  7 Mo 2.73-2.76, 1 Ta 2.76

Properties
Energy of formation: -69 meV/atom
Total DFT energy (no corrections): -529.35 eV/cell
Volume: 774 Å³ per cell
Energy relative to the lowest polymorph listed for this composition: 0.037 eV per atom

---

[3]
Entry from Alexandria via LeMat-Bulk: crystalline TaMo7 at its relaxed geometry (GGA-PBE).

Unit cell a=6.3586 b=6.3586 c=6.3586 alpha=90.00 beta=90.00 gamma=90.00
Closest atoms and distances in Å follow each position.
Space group Im-3m (No. 229)
Unique sites:
Ta 0.0000 0.0000 0.0000 (multiplicity 2)  8 Mo 2.75
Mo 0.0000 0.0000 0.5000 (multiplicity 6)  8 Mo 2.75
Mo 0.2500 0.2500 0.2500 (multiplicity 8)  2 Ta 2.75, 6 Mo 2.75

Properties
Energy of formation: -78 meV/atom
Total DFT energy (no corrections): -176.58 eV/cell
Volume: 257 Å³ per cell
Energy relative to the lowest polymorph listed for this composition: 0.029 eV per atom

---

[4]
Entry from Alexandria via LeMat-Bulk: crystalline Ta3Mo4 at its relaxed geometry (GGA-PBE).

Unit cell a=3.2145 b=3.2145 c=22.6465 alpha=90.00 beta=90.00 gamma=90.00
Closest atoms and distances in Å follow each position.
Space group I4/mmm (No. 139)
Unique sites:
Ta 0.0000 0.0000 0.0000 (multiplicity 2)  8 Mo 2.80
Ta 0.0000 0.0000 0.1427 (multiplicity 4)  8 Mo 2.78-2.82
Mo 0.0000 0.0000 0.2834 (multiplicity 4)  4 Mo 2.73, 4 Ta 2.82
Mo 0.0000 0.0000 0.4279 (multiplicity 4)  8 Ta 2.78-2.80

Properties
Energy of formation: -200 meV/atom
Total DFT energy (no corrections): -160.56 eV/cell
Volume: 234 Å³ per cell

---

[5]
Entry from Alexandria via LeMat-Bulk: crystalline Ta2Mo at its relaxed geometry (GGA-PBE).

Unit cell a=3.2412 b=3.2412 c=9.9011 alpha=90.00 beta=90.00 gamma=90.00
Closest atoms and distances in Å follow each position.
Space group P4/nmm (No. 129, origin choice 2)
Unique sites:
Ta 0.2500 0.2500 0.0857 (multiplicity 2)  8 Ta 2.85-2.86
Ta 0.2500 0.2500 0.7418 (multiplicity 2)  4 Mo 2.81, 4 Ta 2.86
Mo 0.2500 0.2500 0.4224 (multiplicity 2)  4 Mo 2.76, 4 Ta 2.81

Properties
Energy of formation: -87 meV/atom
Total DFT energy (no corrections): -69.59 eV/cell
Volume: 104 Å³ per cell
Energy relative to the lowest polymorph listed for this composition: 0.069 eV per atom

---

[6]
Entry from Alexandria via LeMat-Bulk: crystalline TaMo4 at its relaxed geometry (GGA-PBE).

Unit cell a=4.6820 b=4.6820 c=4.6820 alpha=90.00 beta=90.00 gamma=90.00
Closest atoms and distances in Å follow each position.
Space group Pm-3m (No. 221)
Unique sites:
Ta 0.0000 0.0000 0.0000 (multiplicity 1)  6 Mo 2.34
Mo 0.0000 0.0000 0.5000 (multiplicity 3)  2 Ta 2.34
Mo 0.5000 0.5000 0.5000 (multiplicity 1)  12 Mo 3.31

Properties
Energy of formation: 2045 meV/atom
Total DFT energy (no corrections): -44.95 eV/cell
Volume: 103 Å³ per cell
Energy relative to the lowest polymorph listed for this composition: 2.170 eV per atom

---

[7]
Entry from Alexandria via LeMat-Bulk: crystalline Ta2Mo at its relaxed geometry (GGA-PBE).

Unit cell a=3.2588 b=13.7189 c=4.6458 alpha=90.00 beta=90.00 gamma=90.00
Closest atoms and distances in Å follow each position.
Space group Cmcm (No. 63)
Unique sites:
Ta 0.0000 0.0799 0.2500 (multiplicity 4)  6 Mo 2.77-2.84, 2 Ta 2.92
Ta 0.0000 0.2438 0.7500 (multiplicity 4)  2 Mo 2.73, 6 Ta 2.84-2.92
Mo 0.0000 0.4163 0.2500 (multiplicity 4)  8 Ta 2.73-2.84

Properties
Energy of formation: -151 meV/atom
Total DFT energy (no corrections): -139.96 eV/cell
Volume: 208 Å³ per cell
Energy relative to the lowest polymorph listed for this composition: 0.005 eV per atom

---

[8]
Entry from Alexandria via LeMat-Bulk: crystalline TaMo7 at its relaxed geometry (GGA-PBE).

Unit cell a=6.3514 b=8.9940 c=4.5030 alpha=90.00 beta=90.00 gamma=90.00
Closest atoms and distances in Å follow each position.
Space group Cmmm (No. 65)
Unique sites:
Ta 0.0000 0.0000 0.0000 (multiplicity 2)  8 Mo 2.75-2.76
Mo 0.0000 0.2492 0.5000 (multiplicity 4)  8 Mo 2.75-2.76
Mo 0.0000 0.5000 0.0000 (multiplicity 2)  8 Mo 2.75
Mo 0.2474 0.5000 0.5000 (multiplicity 4)  6 Mo 2.75-2.76, 2 Ta 2.76
Mo 0.2500 0.2500 0.0000 (multiplicity 4)  2 Ta 2.75, 6 Mo 2.75-2.76

Properties
Energy of formation: -86 meV/atom
Total DFT energy (no corrections): -176.71 eV/cell
Volume: 257 Å³ per cell
Energy relative to the lowest polymorph listed for this composition: 0.021 eV per atom

---

[9]
Entry from Alexandria via LeMat-Bulk: crystalline Ta3Mo5 at its relaxed geometry (GGA-PBE).

Unit cell a=6.4260 b=6.4260 c=3.2135 alpha=90.00 beta=90.00 gamma=90.00
Closest atoms and distances in Å follow each position.
Space group P4/mmm (No. 123)
Unique sites:
Ta 0.0000 0.0000 0.0000 (multiplicity 1)  8 Mo 2.80
Ta 0.0000 0.5000 0.0000 (multiplicity 2)  8 Mo 2.78
Mo 0.2529 0.2529 0.5000 (multiplicity 4)  2 Mo 2.76, 6 Ta 2.78-2.80
Mo 0.5000 0.5000 0.0000 (multiplicity 1)  8 Mo 2.76

Properties
Energy of formation: -178 meV/atom
Total DFT energy (no corrections): -91.13 eV/cell
Volume: 133 Å³ per cell
Energy relative to the lowest polymorph listed for this composition: 0.014 eV per atom

---

[10]
Entry from Alexandria via LeMat-Bulk: crystalline Ta3Mo at its relaxed geometry (GGA-PBE).

Unit cell a=6.6049 b=9.2534 c=4.6069 alpha=90.00 beta=90.00 gamma=90.00
Closest atoms and distances in Å follow each position.
Space group Cmcm (No. 63)
Unique sites:
Ta 0.0000 0.1182 0.2500 (multiplicity 4)  8 Ta 2.82-2.87
Ta 0.2420 0.3749 0.2500 (multiplicity 8)  4 Mo 2.80-2.85, 4 Ta 2.82-2.87
Mo 0.0000 0.3722 0.7500 (multiplicity 4)  8 Ta 2.80-2.85

Properties
Energy of formation: -86 meV/atom
Total DFT energy (no corrections): -186.93 eV/cell
Volume: 282 Å³ per cell
Energy relative to the lowest polymorph listed for this composition: 0.028 eV per atom

---

[11]
Entry from Alexandria via LeMat-Bulk: crystalline TaMo2 at its relaxed geometry (GGA-PBE).

Unit cell a=3.0527 b=3.0527 c=6.3361 alpha=90.00 beta=90.00 gamma=120.00
Closest atoms and distances in Å follow each position.
Space group P-3m1 (No. 164)
Unique sites:
Ta 0.0000 0.0000 0.0000 (multiplicity 1)  6 Mo 2.79, 6 Ta 3.05
Mo 0.3333 0.6667 0.6577 (multiplicity 2)  3 Mo 2.66, 3 Ta 2.79

Properties
Energy of formation: 238 meV/atom
Total DFT energy (no corrections): -32.80 eV/cell
Volume: 51 Å³ per cell

---

[12]
Entry from Alexandria via LeMat-Bulk: crystalline Ta3Mo4 at its relaxed geometry (GGA-PBE).

Unit cell a=3.2143 b=4.5844 c=31.7860 alpha=90.00 beta=90.00 gamma=90.00
Closest atoms and distances in Å follow each position.
Space group Fmm2 (No. 42)
Unique sites:
Ta 0.0000 0.0000 0.0000 (multiplicity 4)  2 Mo 2.77, 6 Ta 2.80-2.91
Ta 0.0000 0.0000 0.1427 (multiplicity 4)  4 Mo 2.79-2.80, 4 Ta 2.80
Ta 0.0000 0.0000 0.4236 (multiplicity 4)  2 Mo 2.79, 6 Ta 2.80-2.91
Mo 0.0000 0.0000 0.2833 (multiplicity 4)  8 Mo 2.71-2.80
Mo 0.0000 0.0000 0.5711 (multiplicity 4)  4 Ta 2.77-2.79, 4 Mo 2.80
Mo 0.0000 0.0000 0.7147 (multiplicity 4)  6 Mo 2.71-2.80, 2 Ta 2.80
Mo 0.0000 0.0000 0.8518 (multiplicity 4)  6 Mo 2.71-2.80, 2 Ta 2.79

Properties
Energy of formation: -78 meV/atom
Total DFT energy (no corrections): -317.70 eV/cell
Volume: 468 Å³ per cell